Entry from the Alexandria database: a relaxed NpNiS crystal (PBE).

The magnetic moment comes out at 4.01 μB/f.u. Its symmetry is Immm (71). The volume comes out at 17.15 Å³/atom. Its uncorrected energy is -49.73 eV/cell.

```
NpNiS
1.0
-1.891 3.463 3.927
1.891 -3.463 3.927
1.891 3.463 -3.927
Np Ni S
2 2 2
Direct
0.232 0.000 0.232 Np
0.768 0.000 0.768 Np
0.350 0.350 0.000 Ni
0.650 0.650 0.000 Ni
0.206 0.706 0.500 S
0.794 0.294 0.500 S
```